{
  "formula": "Ba2NdMo3O12",
  "functional": "GGA+U",
  "state": "optimized geometry",
  "cell": [[-5.964, 3.654, -0.624], [-4.848, -1.358, 4.895], [-0.901, 5.064, 4.781]],
  "species": ["O", "O", "O", "Mo", "O", "O", "Ba", "Nd", "O", "Mo", "O", "O", "O", "O", "Ba", "O", "Mo", "O"],
  "fractional_positions": [[0.275, 0.903, 0.275], [0.870, 0.417, 0.870], [0.725, 0.725, 0.097], [0.500, 0.000, 0.000], [0.275, 0.275, 0.903], [0.870, 0.870, 0.417], [0.618, 0.618, 0.618], [0.000, 0.000, 0.000], [0.903, 0.275, 0.275], [0.000, 0.000, 0.500], [0.725, 0.097, 0.725], [0.130, 0.130, 0.583], [0.130, 0.583, 0.130], [0.097, 0.725, 0.725], [0.382, 0.382, 0.382], [0.417, 0.870, 0.870], [0.000, 0.500, 0.000], [0.583, 0.130, 0.130]],
  "total_energy_ev_per_atom": -7.12,
  "rho_g_cm3": 5.50,
  "vol_a3_per_cell": 271.2,
  "sg": "R-3m (166)"
}